*1*
Compound: Sb2POsI
Source: Alexandria via LeMat-Bulk
Functional: PBE
Structure: relaxed

Cell and atoms, written as POSCAR:
```
Sb2POsI
1.0
-2.1415 -2.4837 -3.8155
3.8217 -3.2723 -0.0149
-2.4759 -2.9066 3.2816
I Sb P Os
1 2 1 1
Direct
0.0000 0.0000 0.5000 I
0.0000 0.5000 0.0000 Sb
0.5000 0.0000 0.0000 Sb
0.0000 0.0000 0.0000 P
0.5000 0.5000 0.5000 Os
```

Calculated volume   127 Å³/cell
Spin magnetization   0.00 μB/f.u.
Crystal system   tetragonal
Space-group type   P4/mmm (123)

*2*
Compound: Sb2POsI
Source: Alexandria via LeMat-Bulk
Functional: PBE
Structure: relaxed

Cell and atoms, written as POSCAR:
```
Sb2POsI
1.0
5.0646 0.0000 0.0000
0.0000 5.0646 0.0000
0.0000 0.0000 5.4982
Sb P Os I
2 1 1 1
Direct
0.0000 0.5000 0.0000 Sb
0.5000 0.0000 0.0000 Sb
0.5000 0.5000 0.5000 P
0.0000 0.0000 0.0000 Os
0.0000 0.0000 0.5000 I
```

Calculated volume   141 Å³/cell
Spin magnetization   0.00 μB/f.u.
Crystal system   tetragonal
Space-group type   P4/mmm (123)

Energy ordering: *2* at the bottom, the next structure 605 meV/atom above.

*1*
Compound: Te2POsI
Source: Alexandria via LeMat-Bulk
Functional: PBE
Structure: relaxed

Cell and atoms, written as POSCAR:
```
Te2POsI
1.0
5.1330 0.0000 0.0000
0.0000 5.1330 0.0000
0.0000 0.0000 5.4618
Te I Os P
2 1 1 1
Direct
0.5000 0.0000 0.0000 Te
0.0000 0.5000 0.0000 Te
0.0000 0.0000 0.5000 I
0.0000 0.0000 0.0000 Os
0.5000 0.5000 0.5000 P
```

Calculated volume   144 Å³/cell
Spin magnetization   0.00 μB/f.u.
Crystal system   tetragonal
Space-group type   P4/mmm (123)

*2*
Compound: Te2POsI
Source: Alexandria via LeMat-Bulk
Functional: PBE
Structure: relaxed

Cell and atoms, written as POSCAR:
```
Te2POsI
1.0
-1.3595 4.5265 -2.3360
-2.5834 1.4710 4.3539
4.2917 2.2166 1.7976
Os Te I P
1 2 1 1
Direct
0.5000 0.5000 0.5000 Os
0.5000 0.0000 0.0000 Te
0.0000 0.5000 0.0000 Te
0.0000 0.0000 0.5000 I
0.0000 0.0000 0.0000 P
```

Calculated volume   143 Å³/cell
Spin magnetization   3.74 μB/f.u.
Crystal system   tetragonal
Space-group type   P4/mmm (123)

Energy ordering: *1* at the bottom, the next structure 482 meV/atom above.

*1*
Compound: TePOsI2
Source: Alexandria via LeMat-Bulk
Functional: PBE
Structure: relaxed

Cell and atoms, written as POSCAR:
```
TePOsI2
1.0
5.2944 0.0000 0.0000
0.0000 5.2944 0.0000
0.0000 0.0000 5.4678
Te I Os P
1 2 1 1
Direct
0.0000 0.0000 0.5000 Te
0.5000 0.0000 0.0000 I
0.0000 0.5000 0.0000 I
0.5000 0.5000 0.5000 Os
0.0000 0.0000 0.0000 P
```

Calculated volume   153 Å³/cell
Spin magnetization   4.09 μB/f.u.
Crystal system   tetragonal
Space-group type   P4/mmm (123)

*2*
Compound: TePOsI2
Source: Alexandria via LeMat-Bulk
Functional: PBE
Structure: relaxed

Cell and atoms, written as POSCAR:
```
TePOsI2
1.0
-4.9805 0.7281 -1.9362
0.7730 -4.0269 -3.5029
-1.8067 -3.3074 3.4035
I Os P Te
2 1 1 1
Direct
0.5000 0.0000 0.0000 I
0.0000 0.5000 0.0000 I
0.0000 0.0000 0.0000 Os
0.5000 0.5000 0.5000 P
0.0000 0.0000 0.5000 Te
```

Calculated volume   148 Å³/cell
Spin magnetization   0.00 μB/f.u.
Crystal system   tetragonal
Space-group type   P4/mmm (123)

Energy ordering: *2* at the bottom, the next structure 442 meV/atom above.

*1*
Compound: SbOsPbI2
Source: Alexandria via LeMat-Bulk
Functional: PBE
Structure: relaxed

Cell and atoms, written as POSCAR:
```
SbOsPbI2
1.0
5.6026 0.0000 0.0000
0.0000 5.6026 0.0000
0.0000 0.0000 5.0319
Pb I Sb Os
1 2 1 1
Direct
0.5000 0.5000 0.5000 Pb
0.5000 0.0000 0.0000 I
0.0000 0.5000 0.0000 I
0.0000 0.0000 0.5000 Sb
0.0000 0.0000 0.0000 Os
```

Calculated volume   158 Å³/cell
Spin magnetization   0.00 μB/f.u.
Crystal system   tetragonal
Space-group type   P4/mmm (123)

*2*
Compound: SbOsPbI2
Source: Alexandria via LeMat-Bulk
Functional: PBE
Structure: relaxed

Cell and atoms, written as POSCAR:
```
SbOsPbI2
1.0
-2.8285 -5.4083 0.1058
4.5833 -2.3327 3.2884
-2.8849 1.6097 5.1628
I Os Sb Pb
2 1 1 1
Direct
0.5000 0.0000 0.0000 I
0.0000 0.5000 0.0000 I
0.5000 0.5000 0.5000 Os
0.0000 0.0000 0.5000 Sb
0.0000 0.0000 0.0000 Pb
```

Calculated volume   228 Å³/cell
Spin magnetization   2.75 μB/f.u.
Crystal system   tetragonal
Space-group type   P4/mmm (123)

Energy ordering: *1* at the bottom, the next structure 1049 meV/atom above.

*1*
Compound: OsPd2I
Source: Alexandria via LeMat-Bulk
Functional: PBE
Structure: relaxed

Cell and atoms, written as POSCAR:
```
OsPd2I
1.0
0.7393 -1.9967 4.1160
-3.0220 -3.1038 1.6458
1.1697 -4.4783 0.2261
I Os Pd
1 1 2
Direct
0.0000 0.0000 0.0000 I
0.5000 0.5000 0.5000 Os
0.7500 0.7500 0.7500 Pd
0.2500 0.2500 0.2500 Pd
```

Calculated volume   70 Å³/cell
Spin magnetization   0.00 μB/f.u.
Crystal system   cubic
Space-group type   Fm-3m (225)

*2*
Compound: OsPd2I
Source: Alexandria via LeMat-Bulk
Functional: PBE
Structure: relaxed

Cell and atoms, written as POSCAR:
```
OsPd2I
1.0
6.6608 0.0000 0.0000
0.0000 6.6608 0.0000
3.3304 3.3304 4.3700
Pd Os I
4 2 2
Direct
0.6629 0.1250 0.2500 Pd
0.8750 0.9129 0.7500 Pd
0.3750 0.3371 0.7500 Pd
0.0871 0.6250 0.2500 Pd
0.0000 0.0000 0.0000 Os
0.7500 0.2500 0.5000 Os
0.5000 0.5000 0.0000 I
0.2500 0.7500 0.5000 I
```

Calculated volume   194 Å³/cell
Spin magnetization   0.00 μB/f.u.
Crystal system   tetragonal
Space-group type   I-42d (122)

Energy ordering: *1* at the bottom, the next structure 83 meV/atom above.

*1*
Compound: OsPdI2
Source: Alexandria via LeMat-Bulk
Functional: PBE
Structure: relaxed

Cell and atoms, written as POSCAR:
```
OsPdI2
1.0
6.3489 0.0000 0.0000
0.0000 6.3489 0.0000
3.1745 3.1745 5.5222
Pd I Os
2 4 2
Direct
0.2500 0.7500 0.5000 Pd
0.5000 0.5000 0.0000 Pd
0.6421 0.1250 0.2500 I
0.3750 0.3579 0.7500 I
0.1079 0.6250 0.2500 I
0.8750 0.8921 0.7500 I
0.7500 0.2500 0.5000 Os
0.0000 0.0000 0.0000 Os
```

Calculated volume   223 Å³/cell
Spin magnetization   0.00 μB/f.u.
Crystal system   tetragonal
Space-group type   I-42d (122)

*2*
Compound: OsPdI2
Source: Alexandria via LeMat-Bulk
Functional: PBE
Structure: relaxed

Cell and atoms, written as POSCAR:
```
OsPdI2
1.0
0.0296 -1.4762 4.6340
0.2365 3.2700 3.5924
-3.8768 0.7898 2.8286
I Pd Os
2 1 1
Direct
0.2500 0.2500 0.2500 I
0.7500 0.7500 0.7500 I
0.0000 0.0000 0.0000 Pd
0.5000 0.5000 0.5000 Os
```

Calculated volume   81 Å³/cell
Spin magnetization   0.00 μB/f.u.
Crystal system   cubic
Space-group type   Fm-3m (225)

Energy ordering: *1* at the bottom, the next structure 264 meV/atom above.